Record 1
CdTe2Os after structural relaxation, computed with PBE.

Output
- raw total energy (eV per cell) = -30.86
- DOS at the Fermi energy (states/eV/atom) = 0.53
- E_form (uncorrected) (eV/f.u.) = 2.998
- ρ (Mg/m³) = 10.74

a b c (Å): 6.249 7.906 3.492
angles (deg): 90.00 90.16 90.00
Space group C2/m (No. 12)
One atom of each set of equivalent atoms:
Cd (0.000, 0.000, 0.000) [2 per cell]
Te (0.250, 0.250, 0.500) [4 per cell]
Os (0.000, 0.500, 0.000) [2 per cell]

=====

Record 2
CdTe2Os after structural relaxation, computed with PBE.

Output
- raw total energy (eV per cell) = -34.56
- DOS at the Fermi energy (states/eV/atom) = 0.84
- E_form (uncorrected) (eV/f.u.) = 1.147
- ρ (Mg/m³) = 8.52

a b c (Å): 10.207 3.425 6.756
angles (deg): 90.00 112.92 90.00
Space group Cm (No. 8)
One atom of each set of equivalent atoms:
Cd (0.000, 0.000, 0.000) [2 per cell]
Te (0.198, 0.000, 0.689) [2 per cell]
Te (0.376, 0.000, 0.293) [2 per cell]
Os (0.219, 0.500, 0.997) [2 per cell]